No. 1
This record from Alexandria describes an optimized crystal structure of LaCeTm14. The functional is PBE-GGA.

Computed properties:
- Energy relative to the elements: 31 meV per atom
- Total magnetization: 0.66 μB/f.u.
- Space-group type: No. 38

Cell lengths 7.0392, 7.0392, 11.3491 Å; angles 90.00, 90.00, 119.68 degrees
Each line ends with the local moment (μB).
Fractional coordinates of all 16 atoms:
Tm (0.3726, 0.1225, 0.2454)  0.00
Tm (0.3743, 0.6257, 0.2493)  0.01
Tm (0.2082, 0.2919, 0.5000)  0.03
Tm (0.5430, 0.9574, 0.0000)  -0.04
Tm (0.3743, 0.6257, 0.7507)  0.01
Tm (0.5417, 0.4583, 0.0000)  -0.09
Tm (0.8757, 0.1243, 0.2457)  -0.01
Tm (0.8775, 0.6274, 0.2454)  0.00
Tm (0.3726, 0.1225, 0.7546)  0.00
Tm (0.0414, 0.9586, 0.0000)  -0.04
Tm (0.7081, 0.7918, 0.5000)  0.03
Tm (0.8757, 0.1243, 0.7543)  -0.01
Tm (0.0426, 0.4570, 0.0000)  -0.04
Tm (0.8775, 0.6274, 0.7546)  0.00
Ce (0.2072, 0.7928, 0.5000)  0.70
La (0.7076, 0.2924, 0.5000)  0.01

No. 2
This record from Alexandria describes an optimized crystal structure of LaCe2Tm. The functional is PBE-GGA.

Computed properties:
- Energy relative to the elements: 111 meV per atom
- Total magnetization: 1.28 μB/f.u.
- Energy relative to the lowest polymorph listed for this composition: 0.02 eV/f.u.
- Space-group type: No. 123

Cell lengths 3.4776, 3.4776, 10.0998 Å; angles 90.00, 90.00, 90.00 degrees
Each line ends with the local moment (μB).
Fractional coordinates of all 4 atoms:
Tm (0.5000, 0.5000, 0.5000)  0.05
Ce (0.0000, 0.0000, 0.7469)  0.49
Ce (0.0000, 0.0000, 0.2531)  0.49
La (0.5000, 0.5000, 0.0000)  0.02

No. 3
This record from Alexandria describes an optimized crystal structure of La10CeTm4. The functional is PBE-GGA.

Computed properties:
- Energy relative to the elements: 203 meV per atom
- Total magnetization: 0.00 μB/f.u.
- Space-group type: No. 139

Cell lengths 9.0374, 9.0374, 9.0374 Å; angles 101.17, 101.17, 127.78 degrees
Fractional coordinates of all 15 atoms:
Tm (0.7713, 0.7714, 0.5427)
Tm (0.7714, 0.2287, 0.0001)
Tm (0.2286, 0.7713, 0.9999)
Tm (0.2287, 0.2286, 0.4573)
La (0.2500, 0.7500, 0.5000)
La (0.7500, 0.2500, 0.5000)
La (0.0720, 0.2883, 0.7839)
La (0.2883, 0.5045, 0.2163)
La (0.7117, 0.4955, 0.7837)
La (0.7119, 0.9280, 0.2163)
La (0.9280, 0.7117, 0.2161)
La (0.5045, 0.2881, 0.2161)
La (0.4955, 0.7119, 0.7839)
La (0.2881, 0.0720, 0.7837)
Ce (0.0000, 0.0000, 0.0000)

No. 4
This record from Alexandria describes an optimized crystal structure of La8CeTm3. The functional is PBE-GGA.

Computed properties:
- Energy relative to the elements: 471 meV per atom
- Total magnetization: 0.00 μB/f.u.
- Space-group type: No. 121

Cell lengths 8.5346, 8.5346, 8.5346 Å; angles 93.16, 118.19, 118.19 degrees
Fractional coordinates of all 12 atoms:
La (0.0000, 0.7897, 0.2558)
La (0.5339, 0.7442, 0.7442)
La (0.7594, 0.1201, 0.1201)
La (0.0000, 0.6393, 0.8799)
La (0.2406, 0.3607, 0.3607)
La (0.0000, 0.2558, 0.7897)
La (0.4661, 0.2103, 0.2103)
La (0.0000, 0.8799, 0.6393)
Tm (0.0000, 0.5000, 0.5000)
Tm (0.5000, 0.2500, 0.7500)
Tm (0.5000, 0.7500, 0.2500)
Ce (0.0000, 0.0000, 0.0000)

No. 5
This record from Alexandria describes an optimized crystal structure of La5CeTm. The functional is PBE-GGA.

Computed properties:
- Energy relative to the elements: 349 meV per atom
- Total magnetization: 1.27 μB/f.u.
- Space-group type: No. 2

Cell lengths 5.8577, 10.5620, 12.1150 Å; angles 39.06, 43.80, 33.81 degrees
Each line ends with the local moment (μB).
Fractional coordinates of all 7 atoms:
La (0.5423, 0.0234, 0.6152)  -0.03
La (0.5000, 0.0000, 0.0000)  0.00
La (0.3706, 0.5981, 0.8216)  0.01
La (0.4577, 0.9766, 0.3848)  -0.03
La (0.6294, 0.4019, 0.1784)  0.01
Tm (0.0000, 0.0000, 0.0000)  0.02
Ce (0.5000, 0.5000, 0.5000)  -0.99

No. 6
This record from Alexandria describes an optimized crystal structure of La2CeTm6. The functional is PBE-GGA.

Computed properties:
- Energy relative to the elements: 92 meV per atom
- Total magnetization: 1.46 μB/f.u.
- Energy relative to the lowest polymorph listed for this composition: 0.00 eV/f.u.
- Space-group type: No. 12

Cell lengths 3.4490, 10.3681, 10.3681 Å; angles 56.34, 109.33, 109.33 degrees
Each line ends with the local moment (μB).
Fractional coordinates of all 9 atoms:
Tm (0.5000, 0.6693, 0.3307)  0.06
Tm (0.1685, 0.6693, 0.9999)  0.06
Tm (0.5000, 0.3307, 0.6693)  0.06
Tm (0.1685, 0.9999, 0.6693)  0.06
Tm (0.8315, 0.0001, 0.3307)  0.06
Tm (0.8315, 0.3307, 0.0001)  0.06
Ce (0.0000, 0.0000, 0.0000)  0.79
La (0.3334, 0.6668, 0.6668)  0.00
La (0.6666, 0.3332, 0.3332)  0.00

| no. | volume (Å³/atom) | DOS at the Fermi energy (states/eV per atom) | VASP energy (eV per formula unit) |
| --- | --- | --- | --- |
| 1 | 30.54 | 1.51 | -72.962 |
| 2 | 30.54 | 2.70 | -20.824 |
| 3 | 34.92 | 1.57 | -70.054 |
| 4 | 37.57 | 1.77 | -53.110 |
| 5 | 36.64 | 2.15 | -32.599 |
| 6 | 31.78 | 1.85 | -41.790 |